Record 1
A plane-wave DFT calculation with PBE-GGA was carried out for a relaxed structure of SmUCl2.

The calculated total energy comes out at -5.89 eV per atom. The uncorrected formation energy comes out at -963 meV per atom. The total moment is 3.75 μB per formula unit.

The structure belongs to space group R-3m (No. 166, hexagonal axes); the cell edges are 3.4174, 3.4174 and 29.4754 Å and the angles 90.00°, 90.00° and 120.00°. The asymmetric unit holds Sm at (0.0000, 0.0000, 0.0000), U at (0.0000, 0.0000, 0.5000) and Cl at (0.0000, 0.0000, 0.4035).



Record 2
A plane-wave DFT calculation with PBE-GGA was carried out for a relaxed structure of DySc3Cd.

The calculated total energy comes out at -4.92 eV per atom. The value obtained for the formation energy is -0.1 eV per formula unit. The energy relative to the lowest polymorph listed for this composition comes out at 0.072 eV/atom. The total moment is 0.00 μB per formula unit.

The structure belongs to space group P2_1/m (No. 11); the cell edges are 5.124, 6.382 and 7.910 Å and the angles 90.00°, 104.47° and 90.00°. The asymmetric unit holds Dy at (0.198, 0.250, 0.355), Sc at (0.223, 0.750, 0.433), Sc at (0.357, 0.009, 0.791) and Cd at (0.066, 0.750, 0.049).



Record 3
A plane-wave DFT calculation with PBE-GGA was carried out for a relaxed structure of RbGe2Pt4.

The calculated total energy comes out at -5.24 eV per atom. The value obtained for the formation energy is -2.3 eV per formula unit. The total moment is 0.00 μB per formula unit.

The structure belongs to space group P4_2/mnm (No. 136); the cell edges are 8.085, 8.085 and 3.993 Å and the angles 90.00°, 90.00° and 90.00°. The asymmetric unit holds Rb at (0.000, 0.000, 0.000), Ge at (0.227, 0.227, 0.500) and Pt at (0.086, 0.660, 0.500).



Record 4
A plane-wave DFT calculation with PBE-GGA was carried out for a relaxed structure of Dy2In3Ga.

The calculated total energy comes out at -3.83 eV per atom. The value obtained for the formation energy is -2.6 eV per formula unit. The total moment is 0.00 μB per formula unit.

The structure belongs to space group Pmm2 (No. 25); the cell edges are 3.538, 4.893 and 8.369 Å and the angles 90.00°, 90.00° and 90.00°. The asymmetric unit holds Dy at (0.000, 0.000, 0.000), Dy at (0.000, 0.500, 0.481), In at (0.500, 0.000, 0.646), In at (0.500, 0.500, 0.163), In at (0.500, 0.500, 0.822) and Ga at (0.500, 0.000, 0.319).



Q: calculated total energy of number 1 (SmUCl2)?
A: -5.89 eV per atom



Q: Look up the calculated total energy of the first one.
A: -5.89 eV per atom